1) # KBaCa2Ag

A geometry-optimized KBaCa2Ag structure (GGA-PBE, the Alexandria database).

```
5
Lattice="-2.977 -3.294 4.052 1.765 -5.025 -2.788 5.291 -0.206 3.720" Properties=species:S:1:pos:R:3 pbc="T T T"
Ba 2.039 -4.262 2.492
K 2.646 -0.103 1.860
Ca -1.489 -1.647 2.026
Ca 0.882 -2.512 -1.394
Ag 0.000 0.000 0.000
```

***

2) # KBaCa2Ag

A geometry-optimized KBaCa2Ag structure (GGA-PBE, the Alexandria database).

```
5
Lattice="-4.854 3.562 -0.794 -2.632 -2.500 4.869 2.707 4.534 3.791" Properties=species:S:1:pos:R:3 pbc="T T T"
Ag 0.000 0.000 0.000
Ca -1.316 -1.250 2.435
Ca -2.427 1.781 -0.397
K -2.389 2.798 3.933
Ba 1.353 2.267 1.896
```

***

Energies relative to the most stable structure, in meV/atom: 1) 79; 2) 0.